[1]
Material: TlGa3
Method: DFT, PBE
State: optimized geometry

Geometry as CIF:
```
data_TlGa3
_space_group_name_H-M_alt 'I 4/m m m'
_space_group_IT_number 139
_space_group_name_Hall '-I 4 2'
_cell_length_a 4.242
_cell_length_b 4.242
_cell_length_c 9.898
_cell_angle_alpha 90.00
_cell_angle_beta 90.00
_cell_angle_gamma 90.00
loop_
_atom_site_label
_atom_site_type_symbol
_atom_site_fract_x
_atom_site_fract_y
_atom_site_fract_z
Tl1 Tl 0.000 0.000 0.000
Ga1 Ga 0.000 0.000 0.500
Ga2 Ga 0.000 0.500 0.250
```

Formation energy ... 0.121 eV per atom
Mass density ... 7.71 g/cm³
VASP energy ... -2.74 eV/atom
Size of the total moment ... 0.000 μB per formula unit
Energy above the most stable polymorph in this dataset ... 0.099 eV/atom

=====

[2]
Material: TlGa13
Method: DFT, PBE
State: optimized geometry

Geometry as CIF:
```
data_TlGa13
_space_group_name_H-M_alt 'P -1'
_space_group_IT_number 2
_cell_length_a 8.682
_cell_length_b 8.693
_cell_length_c 9.275
_cell_angle_alpha 66.52
_cell_angle_beta 66.54
_cell_angle_gamma 70.28
loop_
_space_group_symop_operation_xyz
'x,y,z'
'-x,-y,-z'
loop_
_atom_site_label
_atom_site_type_symbol
_atom_site_fract_x
_atom_site_fract_y
_atom_site_fract_z
Tl1 Tl 0.219 0.281 0.249
Ga1 Ga 0.000 0.000 0.000
Ga2 Ga 0.051 0.953 0.335
Ga3 Ga 0.055 0.688 0.943
Ga4 Ga 0.086 0.271 0.692
Ga5 Ga 0.187 0.554 0.443
Ga6 Ga 0.204 0.775 0.595
Ga7 Ga 0.228 0.415 0.807
Ga8 Ga 0.275 0.704 0.095
Ga9 Ga 0.299 0.053 0.005
Ga10 Ga 0.318 0.932 0.751
Ga11 Ga 0.433 0.816 0.251
Ga12 Ga 0.447 0.201 0.495
Ga13 Ga 0.453 0.551 0.835
Ga14 Ga 0.500 0.500 0.500
```

Formation energy ... 0.029 eV per atom
Mass density ... 6.41 g/cm³
VASP energy ... -2.95 eV/atom
Size of the total moment ... 0.000 μB per formula unit

=====

[3]
Material: Tl12Ga
Method: DFT, PBE
State: optimized geometry

Geometry as CIF:
```
data_Tl12Ga
_space_group_name_H-M_alt 'I m -3'
_space_group_IT_number 204
_space_group_name_Hall '-I 2 2 3'
_cell_length_a 9.267
_cell_length_b 9.267
_cell_length_c 9.267
_cell_angle_alpha 90.00
_cell_angle_beta 90.00
_cell_angle_gamma 90.00
loop_
_atom_site_label
_atom_site_type_symbol
_atom_site_fract_x
_atom_site_fract_y
_atom_site_fract_z
Tl1 Tl 0.000 0.310 0.181
Ga1 Ga 0.000 0.000 0.000
```

Formation energy ... 0.048 eV per atom
Mass density ... 10.53 g/cm³
VASP energy ... -2.37 eV/atom
Size of the total moment ... 0.000 μB per formula unit

=====

[4]
Material: TlGa3
Method: DFT, PBE
State: optimized geometry

Geometry as CIF:
```
data_TlGa3
_space_group_name_H-M_alt 'P 1 21/m 1'
_space_group_IT_number 11
_cell_length_a 4.842
_cell_length_b 6.705
_cell_length_c 5.798
_cell_angle_alpha 90.00
_cell_angle_beta 109.98
_cell_angle_gamma 90.00
loop_
_space_group_symop_operation_xyz
'x,y,z'
'-x,-y,-z'
'-x,y+1/2,-z'
'x,-y+1/2,z'
loop_
_atom_site_label
_atom_site_type_symbol
_atom_site_fract_x
_atom_site_fract_y
_atom_site_fract_z
Tl1 Tl 0.080 0.250 0.156
Ga1 Ga 0.185 0.750 0.411
Ga2 Ga 0.391 0.049 0.750
```

Formation energy ... 0.022 eV per atom
Mass density ... 7.76 g/cm³
VASP energy ... -2.84 eV/atom
Size of the total moment ... 0.000 μB per formula unit
Energy above the most stable polymorph in this dataset ... 0.000 eV/atom

=====

[5]
Material: TlGa11
Method: DFT, PBE
State: optimized geometry

Geometry as CIF:
```
data_TlGa11
_space_group_name_H-M_alt 'I 41/a m d'
_space_group_IT_number 141
_cell_length_a 10.897
_cell_length_b 10.897
_cell_length_c 8.249
_cell_angle_alpha 90.00
_cell_angle_beta 90.00
_cell_angle_gamma 90.00
loop_
_space_group_symop_operation_xyz
'x,y,z'
'-x,-y,-z'
'-y+1/4,x+3/4,z+1/4'
'y+1/4,-x+3/4,-z+1/4'
'-x+1/2,-y,z+1/2'
'x+1/2,y,-z+1/2'
'y+1/4,-x+1/4,z+3/4'
'-y+1/4,x+1/4,-z+3/4'
'x,-y,-z'
'-x,y,z'
'-y+1/4,-x+1/4,-z+3/4'
'y+1/4,x+1/4,z+3/4'
'-x+1/2,y,-z+1/2'
'x+1/2,-y,z+1/2'
'y+1/4,x+3/4,-z+1/4'
'-y+1/4,-x+3/4,z+1/4'
'x+1/2,y+1/2,z+1/2'
'-x+1/2,-y+1/2,-z+1/2'
'-y+3/4,x+1/4,z+3/4'
'y+3/4,-x+1/4,-z+3/4'
'-x,-y+1/2,z'
'x,y+1/2,-z'
'y+3/4,-x+3/4,z+1/4'
'-y+3/4,x+3/4,-z+1/4'
'x+1/2,-y+1/2,-z+1/2'
'-x+1/2,y+1/2,z+1/2'
'-y+3/4,-x+3/4,-z+1/4'
'y+3/4,x+3/4,z+1/4'
'-x,y+1/2,-z'
'x,-y+1/2,z'
'y+3/4,x+1/4,-z+3/4'
'-y+3/4,-x+1/4,z+3/4'
loop_
_atom_site_label
_atom_site_type_symbol
_atom_site_fract_x
_atom_site_fract_y
_atom_site_fract_z
Tl1 Tl 0.000 0.250 0.375
Ga1 Ga 0.000 0.000 0.000
Ga2 Ga 0.000 0.250 0.875
Ga3 Ga 0.122 0.047 0.661
```

Formation energy ... 0.020 eV per atom
Mass density ... 6.59 g/cm³
VASP energy ... -2.95 eV/atom
Size of the total moment ... 0.000 μB per formula unit

=====

[6]
Material: Tl3Ga
Method: DFT, PBE
State: optimized geometry

Geometry as CIF:
```
data_Tl3Ga
_space_group_name_H-M_alt 'P m m 2'
_space_group_IT_number 25
_cell_length_a 3.292
_cell_length_b 4.818
_cell_length_c 7.366
_cell_angle_alpha 90.00
_cell_angle_beta 90.00
_cell_angle_gamma 90.00
loop_
_space_group_symop_operation_xyz
'x,y,z'
'-x,-y,z'
'-x,y,z'
'x,-y,z'
loop_
_atom_site_label
_atom_site_type_symbol
_atom_site_fract_x
_atom_site_fract_y
_atom_site_fract_z
Tl1 Tl 0.000 0.000 0.000
Tl2 Tl 0.000 0.500 0.309
Tl3 Tl 0.500 0.500 0.755
Ga1 Ga 0.500 0.000 0.506
```

Formation energy ... 0.096 eV per atom
Mass density ... 9.71 g/cm³
VASP energy ... -2.43 eV/atom
Size of the total moment ... 0.000 μB per formula unit

=====

[7]
Material: Tl3Ga
Method: DFT, PBE
State: optimized geometry

Geometry as CIF:
```
data_Tl3Ga
_space_group_name_H-M_alt 'I 4/m m m'
_space_group_IT_number 139
_space_group_name_Hall '-I 4 2'
_cell_length_a 4.627
_cell_length_b 4.627
_cell_length_c 10.521
_cell_angle_alpha 90.00
_cell_angle_beta 90.00
_cell_angle_gamma 90.00
loop_
_atom_site_label
_atom_site_type_symbol
_atom_site_fract_x
_atom_site_fract_y
_atom_site_fract_z
Tl1 Tl 0.000 0.000 0.000
Tl2 Tl 0.000 0.500 0.250
Ga1 Ga 0.000 0.000 0.500
```

Formation energy ... 0.097 eV per atom
Mass density ... 10.07 g/cm³
VASP energy ... -2.43 eV/atom
Size of the total moment ... 0.000 μB per formula unit

=====

[8]
Material: Tl3Ga
Method: DFT, PBE
State: optimized geometry

Geometry as CIF:
```
data_Tl3Ga
_space_group_name_H-M_alt 'F m -3 m'
_space_group_IT_number 225
_space_group_name_Hall '-F 4 2 3'
_cell_length_a 7.665
_cell_length_b 7.665
_cell_length_c 7.665
_cell_angle_alpha 90.00
_cell_angle_beta 90.00
_cell_angle_gamma 90.00
loop_
_atom_site_label
_atom_site_type_symbol
_atom_site_fract_x
_atom_site_fract_y
_atom_site_fract_z
Tl1 Tl 0.000 0.000 0.000
Tl2 Tl 0.250 0.250 0.250
Ga1 Ga 0.000 0.000 0.500
```

Formation energy ... 0.067 eV per atom
Mass density ... 10.07 g/cm³
VASP energy ... -2.46 eV/atom
Size of the total moment ... 0.000 μB per formula unit

=====

[9]
Material: TlGa2
Method: DFT, PBE
State: optimized geometry

Geometry as CIF:
```
data_TlGa2
_space_group_name_H-M_alt 'I 4/m m m'
_space_group_IT_number 139
_space_group_name_Hall '-I 4 2'
_cell_length_a 3.322
_cell_length_b 3.322
_cell_length_c 12.601
_cell_angle_alpha 90.00
_cell_angle_beta 90.00
_cell_angle_gamma 90.00
loop_
_atom_site_label
_atom_site_type_symbol
_atom_site_fract_x
_atom_site_fract_y
_atom_site_fract_z
Tl1 Tl 0.000 0.000 0.000
Ga1 Ga 0.000 0.000 0.313
```

Formation energy ... 0.075 eV per atom
Mass density ... 8.21 g/cm³
VASP energy ... -2.73 eV/atom
Size of the total moment ... 0.000 μB per formula unit
Energy above the most stable polymorph in this dataset ... 0.033 eV/atom

=====

[10]
Material: Tl3Ga
Method: DFT, PBE
State: optimized geometry

Geometry as CIF:
```
data_Tl3Ga
_space_group_name_H-M_alt 'P m -3 m'
_space_group_IT_number 221
_space_group_name_Hall '-P 4 2 3'
_cell_length_a 4.845
_cell_length_b 4.845
_cell_length_c 4.845
_cell_angle_alpha 90.00
_cell_angle_beta 90.00
_cell_angle_gamma 90.00
loop_
_atom_site_label
_atom_site_type_symbol
_atom_site_fract_x
_atom_site_fract_y
_atom_site_fract_z
Tl1 Tl 0.000 0.000 0.500
Ga1 Ga 0.500 0.500 0.500
```

Formation energy ... 0.112 eV per atom
Mass density ... 9.97 g/cm³
VASP energy ... -2.42 eV/atom
Size of the total moment ... 0.000 μB per formula unit

=====

[11]
Material: Tl3Ga
Method: DFT, PBE
State: optimized geometry

Geometry as CIF:
```
data_Tl3Ga
_space_group_name_H-M_alt 'I m m 2'
_space_group_IT_number 44
_cell_length_a 3.497
_cell_length_b 10.664
_cell_length_c 6.125
_cell_angle_alpha 90.00
_cell_angle_beta 90.00
_cell_angle_gamma 90.00
loop_
_space_group_symop_operation_xyz
'x,y,z'
'-x,-y,z'
'-x,y,z'
'x,-y,z'
'x+1/2,y+1/2,z+1/2'
'-x+1/2,-y+1/2,z+1/2'
'-x+1/2,y+1/2,z+1/2'
'x+1/2,-y+1/2,z+1/2'
loop_
_atom_site_label
_atom_site_type_symbol
_atom_site_fract_x
_atom_site_fract_y
_atom_site_fract_z
Tl1 Tl 0.000 0.000 0.000
Tl2 Tl 0.000 0.222 0.611
Ga1 Ga 0.000 0.500 0.932
```

Formation energy ... 0.065 eV per atom
Mass density ... 9.93 g/cm³
VASP energy ... -2.47 eV/atom
Size of the total moment ... 0.000 μB per formula unit

=====

[12]
Material: TlGa2
Method: DFT, PBE
State: optimized geometry

Geometry as CIF:
```
data_TlGa2
_space_group_name_H-M_alt 'C 1 2/m 1'
_space_group_IT_number 12
_cell_length_a 5.805
_cell_length_b 5.703
_cell_length_c 8.917
_cell_angle_alpha 90.00
_cell_angle_beta 108.12
_cell_angle_gamma 90.00
loop_
_space_group_symop_operation_xyz
'x,y,z'
'-x,-y,-z'
'-x,y,-z'
'x,-y,z'
'x+1/2,y+1/2,z'
'-x+1/2,-y+1/2,-z'
'-x+1/2,y+1/2,-z'
'x+1/2,-y+1/2,z'
loop_
_atom_site_label
_atom_site_type_symbol
_atom_site_fract_x
_atom_site_fract_y
_atom_site_fract_z
Tl1 Tl 0.184 0.000 0.373
Ga1 Ga 0.113 0.500 0.233
Ga2 Ga 0.250 0.250 0.000
```

Formation energy ... 0.042 eV per atom
Mass density ... 8.14 g/cm³
VASP energy ... -2.76 eV/atom
Size of the total moment ... 0.000 μB per formula unit
Energy above the most stable polymorph in this dataset ... 0.000 eV/atom